Record 1
The following is a DFT calculation (GGA-PBE) of a relaxed Cs2HoNpS4 crystal.

Summary:
Volume = 237.8 Å³ per cell

Cell and atoms, written as POSCAR:
```
Cs2HoNpS4
1.0
4.125 0.000 0.000
0.000 7.158 0.118
0.000 -2.519 8.014
Cs S Np Ho
2 4 1 1
direct
0.000 0.500 0.500
0.500 0.000 0.500
0.500 0.777 0.819
0.500 0.223 0.181
0.000 0.729 0.180
0.000 0.271 0.820
0.500 0.500 0.000
0.000 0.000 0.000
```

=====

Record 2
The following is a DFT calculation (GGA-PBE) of a relaxed HfTiRh crystal.

Summary:
ΔE to the lowest computed polymorph = 0.0 meV/atom
Energy of formation from the pure elements = -0.60 eV per atom
Volume = 51.4 Å³ per cell

Cell and atoms, written as POSCAR:
```
HfTiRh
1.0
3.158 0.006 0.359
-0.006 3.179 -0.007
1.005 -1.575 5.238
Ti Rh Hf
1 1 1
direct
0.676 0.586 0.459
0.327 0.935 0.157
0.993 0.269 0.825
```

=====

Record 3
The following is a DFT calculation (GGA-PBE) of a relaxed Pm2PrNd4Sm2 crystal.

Summary:
Energy of formation from the pure elements = 0.01 eV per atom
Volume = 313.2 Å³ per cell

Cell and atoms, written as POSCAR:
```
Pm2PrNd4Sm2
1.0
5.191 0.000 0.000
-2.595 7.774 -0.011
0.000 -2.592 7.766
Nd Sm Pm Pr
4 2 2 1
direct
0.555 0.111 0.333
0.222 0.445 0.333
0.778 0.555 0.667
0.445 0.889 0.667
0.667 0.335 0.999
0.333 0.665 0.001
0.111 0.223 0.667
0.889 0.777 0.333
0.000 0.000 0.000
```

=====

Record 4
The following is a DFT calculation (GGA-PBE) of a relaxed MnPSe2 crystal.

Summary:
Volume = 77.7 Å³ per cell

Cell and atoms, written as POSCAR:
```
MnPSe2
1.0
-0.406 4.041 1.673
-3.893 0.155 -1.317
-2.679 -1.625 3.275
Mn P Se
1 1 2
direct
0.000 0.547 0.535
0.500 0.726 0.672
0.000 0.938 0.953
0.500 0.288 0.340
```

=====

no.,uncorrected energy (eV/cell)
1,-48.34
2,-27.01
3,-42.68
4,-21.42